1.
# Tl6InPb3 (PBE, optimized geometry)
data_Tl6InPb3
_space_group_name_H-M_alt 'P 1'
_space_group_IT_number 1
_space_group_name_Hall 'P 1'
_cell_length_a 12.766
_cell_length_b 3.423
_cell_length_c 15.273
_cell_angle_alpha 90.00
_cell_angle_beta 111.97
_cell_angle_gamma 90.00
loop_
_atom_site_label
_atom_site_type_symbol
_atom_site_fract_x
_atom_site_fract_y
_atom_site_fract_z
Tl1 Tl 0.037 0.250 0.404
Tl2 Tl 0.126 0.750 0.992
Tl3 Tl 0.167 0.250 0.789
Tl4 Tl 0.266 0.750 0.399
Tl5 Tl 0.321 0.250 0.210
Tl6 Tl 0.439 0.250 0.803
Tl7 Tl 0.561 0.750 0.197
Tl8 Tl 0.679 0.750 0.790
Tl9 Tl 0.734 0.250 0.601
Tl10 Tl 0.833 0.750 0.211
Tl11 Tl 0.874 0.250 0.008
Tl12 Tl 0.963 0.750 0.596
In1 In 0.075 0.750 0.191
In2 In 0.925 0.250 0.809
Pb1 Pb 0.236 0.750 0.612
Pb2 Pb 0.378 0.250 0.002
Pb3 Pb 0.469 0.250 0.592
Pb4 Pb 0.531 0.750 0.408
Pb5 Pb 0.622 0.750 0.998
Pb6 Pb 0.764 0.250 0.388
# Density of states at the Fermi level   6.7 states/eV/cell
# Formation energy   0.021 eV per atom
# Total energy   -2.79 eV/atom

2.
# SrPbAu2 (PBE, optimized geometry)
data_SrPbAu2
_space_group_name_H-M_alt 'P 1'
_space_group_IT_number 1
_space_group_name_Hall 'P 1'
_cell_length_a 5.958
_cell_length_b 5.958
_cell_length_c 5.958
_cell_angle_alpha 140.67
_cell_angle_beta 128.58
_cell_angle_gamma 66.60
loop_
_atom_site_label
_atom_site_type_symbol
_atom_site_fract_x
_atom_site_fract_y
_atom_site_fract_z
Sr1 Sr 0.000 0.000 0.000
Pb1 Pb 0.718 0.218 0.500
Au1 Au 0.272 0.772 0.500
Au2 Au 0.484 0.484 0.000
# Density of states at the Fermi level   2.1 states/eV/cell
# Formation energy   -0.397 eV per atom
# Total energy   -3.38 eV/atom

Q: The lowest density of states at the Fermi level belongs to which entry?
A: SrPbAu2

Q: Among the records above, which one has the lowest formation energy?
A: SrPbAu2